1 | # Cu4Te3

Cu4Te3 after structural relaxation (PBE, Alexandria).

Cell: 5.4005 5.4005 5.4005 Å, 90.00 90.00 90.00°
Space group Pm-3m (No. 221)
Unique sites:
Cu (0.0000, 0.0000, 0.0000)
Cu (0.0000, 0.5000, 0.5000)
Te (0.0000, 0.0000, 0.5000)

## Properties
- Spin magnetization: 0.00 μB/f.u.
- Volume: 157.51 Å³ per cell
- Density: 6.72 g/cm3


2 | # Cu4Te3

Cu4Te3 after structural relaxation (PBE, Alexandria).

Cell: 6.3730 6.3730 4.4053 Å, 90.00 90.00 120.00°
Space group P6/mmm (No. 191)
Unique sites:
Cu (0.0000, 0.0000, 0.2496)
Cu (0.3333, 0.6667, 0.0000)
Te (0.0000, 0.5000, 0.5000)

## Properties
- Spin magnetization: 0.00 μB/f.u.
- Volume: 154.95 Å³ per cell
- Density: 6.83 g/cm3


3 | # Cu4Te3

Cu4Te3 after structural relaxation (PBE, Alexandria).

Cell: 6.1421 6.1421 6.1421 Å, 90.00 90.00 90.00°
Space group P-43m (No. 215)
Unique sites:
Cu (0.1861, 0.1861, 0.1861)
Te (0.0000, 0.0000, 0.5000)

## Properties
- Spin magnetization: 0.00 μB/f.u.
- Volume: 231.71 Å³ per cell
- Density: 4.56 g/cm3


4 | # Cu4Te3

Cu4Te3 after structural relaxation (PBE, Alexandria).

Cell: 3.6353 3.6353 22.1885 Å, 90.00 90.00 90.00°
Space group I4/mmm (No. 139)
Unique sites:
Cu (0.0000, 0.0000, 0.0560)
Cu (0.0000, 0.0000, 0.3774)
Te (0.0000, 0.0000, 0.1696)
Te (0.0000, 0.0000, 0.5000)

## Properties
- Spin magnetization: 0.00 μB/f.u.
- Volume: 293.23 Å³ per cell
- Density: 7.21 g/cm3


Name the least stable of them. 2.


1 | # Cu4Te

Cu4Te after structural relaxation (PBE, Alexandria).

Cell: 4.8563 4.8563 4.8563 Å, 90.00 90.00 90.00°
Space group Pm-3m (No. 221)
Unique sites:
Cu (0.0000, 0.0000, 0.0000)
Cu (0.0000, 0.5000, 0.5000)
Te (0.5000, 0.5000, 0.5000)

## Properties
- Spin magnetization: 0.00 μB/f.u.
- Volume: 114.53 Å³ per cell
- Density: 5.54 g/cm3


2 | # Cu4Te

Cu4Te after structural relaxation (PBE, Alexandria).

Cell: 4.2586 4.2544 9.4126 Å, 90.00 101.94 90.00°
Space group C2/m (No. 12)
Unique sites:
Cu (0.1507, 0.0000, 0.2841)
Cu (0.2176, 0.5000, 0.4296)
Te (0.0000, 0.0000, 0.0000)

## Properties
- Spin magnetization: 0.00 μB/f.u.
- Volume: 166.85 Å³ per cell
- Density: 7.60 g/cm3


Name the least stable of them. 1.